This record from OQMD describes Gd2YMg3AgAu2 after structural relaxation. The functional is GGA-PBE.

abc: 4.0324 13.4402 7.7464
angles: 90.00 90.00 90.00
Space group Amm2 (No. 38)
One atom of each set of equivalent atoms:
Gd (0.0000, 0.2075, 0.0000)
Y (0.0000, 0.0000, 0.6224)
Mg (0.5000, 0.0000, 0.9574)
Mg (0.5000, 0.1240, 0.3328)
Ag (0.0000, 0.0000, 0.2073)
Au (0.5000, 0.1665, 0.7072)

Calculated values
The crystal system is orthorhombic. As for the final energy: -3.868 eV per atom.

***

This record from OQMD describes GdY2Mg3AgAu2 after structural relaxation. The functional is GGA-PBE.

abc: 3.9946 13.4286 7.7632
angles: 90.00 90.00 90.00
Space group Amm2 (No. 38)
One atom of each set of equivalent atoms:
Gd (0.0000, 0.0000, 0.0000)
Y (0.0000, 0.2066, 0.6200)
Mg (0.5000, 0.0000, 0.6627)
Mg (0.5000, 0.1257, 0.2889)
Ag (0.0000, 0.0000, 0.4132)
Au (0.5000, 0.1669, 0.9131)

Calculated values
The crystal system is orthorhombic. As for the final energy: -4.073 eV per atom.